{
  "formula": "Y6Te7",
  "functional": "PBE",
  "state": "optimized geometry",
  "magmom_total_mub_per_atom": 0.000,
  "e_form_raw_mev_per_atom": -577,
  "crystal_system": "trigonal",
  "cell": [[-3.422, -8.926, 6.484], [2.503, -10.575, 3.915], [2.175, -6.580, 9.241]],
  "species": ["Y", "Y", "Y", "Y", "Y", "Y", "Te", "Te", "Te", "Te", "Te", "Te", "Te"],
  "frac_coords": [[0.335, 0.335, 0.335], [0.665, 0.665, 0.665], [0.058, 0.058, 0.058], [0.942, 0.942, 0.942], [0.189, 0.189, 0.189], [0.811, 0.811, 0.811], [0.427, 0.427, 0.928], [0.573, 0.573, 0.072], [0.072, 0.573, 0.573], [0.928, 0.427, 0.427], [0.500, 0.500, 0.500], [0.573, 0.072, 0.573], [0.427, 0.928, 0.427]]
}